1.
Ge2MoF | GGA+U | optimized geometry

Unit cell a=6.482 b=6.482 c=6.482 alpha=90.00 beta=90.00 gamma=90.00
Space group Fm-3m (No. 225)
Symmetry-distinct sites (fractional):
Ge: 0.250 0.250 0.250 [8 per cell]
Mo: 0.000 0.000 0.000 [4 per cell]
F: 0.000 0.000 0.500 [4 per cell]

Values from the calculation:
**Total energy**: -4.46 eV/atom
**D(E_F)**: 0.637 states/eV/atom

2.
Ge2MoF | GGA+U | optimized geometry

Unit cell a=6.769 b=6.769 c=5.877 alpha=90.00 beta=90.00 gamma=90.00
Space group I-42d (No. 122)
Symmetry-distinct sites (fractional):
Ge: 0.201 0.250 0.125 [8 per cell]
Mo: 0.000 0.000 0.500 [4 per cell]
F: 0.000 0.000 0.000 [4 per cell]

Values from the calculation:
**Total energy**: -4.31 eV/atom
**D(E_F)**: 0.625 states/eV/atom

3.
GeMoF3 | GGA+U | optimized geometry

Unit cell a=4.339 b=4.339 c=4.339 alpha=90.00 beta=90.00 gamma=90.00
Space group Pm-3m (No. 221)
Symmetry-distinct sites (fractional):
Ge: 0.000 0.000 0.000 [1 per cell]
Mo: 0.500 0.500 0.500 [1 per cell]
F: 0.000 0.500 0.500 [3 per cell]

Values from the calculation:
**Total energy**: -4.76 eV/atom
**D(E_F)**: 0.553 states/eV/atom

4.
Ge3MoF | GGA+U | optimized geometry

Unit cell a=4.880 b=4.880 c=4.880 alpha=90.00 beta=90.00 gamma=90.00
Space group Pm-3m (No. 221)
Symmetry-distinct sites (fractional):
Ge: 0.000 0.000 0.500 [3 per cell]
Mo: 0.000 0.000 0.000 [1 per cell]
F: 0.500 0.500 0.500 [1 per cell]

Values from the calculation:
**Total energy**: -4.34 eV/atom
**D(E_F)**: 0.309 states/eV/atom